Entry 1:
A plane-wave DFT calculation with PBE-GGA was carried out for a relaxed HfBiTe crystal.

Computed properties:
- ρ (Mg/m³) = 9.34
- total magnetic moment (μB/cell) = 0.0
- formation energy without anion corrections (eV/atom) = -0.405

Cell: 3.758 3.758 15.132 Å, 97.14 97.14 60.00°
Positions (direct):
Hf  0.086  0.086  0.255
Hf  0.914  0.914  0.745
Bi  0.370  0.370  0.107
Bi  0.630  0.630  0.893
Te  0.207  0.207  0.622
Te  0.793  0.793  0.378

Entry 2:
A plane-wave DFT calculation with PBE-GGA was carried out for a relaxed BaDyPt4 crystal.

Computed properties:
- ΔH_f (0 K) (eV per formula unit) = -5.0
- ρ (Mg/m³) = 14.68
- total magnetic moment (μB/cell) = 0.0

Cell: 5.570 5.570 5.570 Å, 60.00 60.00 60.00°
Positions (direct):
Ba  0.000  0.000  0.000
Dy  0.750  0.750  0.750
Pt  0.376  0.376  0.376
Pt  0.376  0.376  0.873
Pt  0.376  0.873  0.376
Pt  0.873  0.376  0.376